CaPaCrO6 | PBE+U | optimized geometry

extended XYZ file:
```
9
Lattice="4.739 0.000 0.000 0.000 5.372 0.000 0.000 -2.686 4.652" Properties=species:S:1:pos:R:3 pbc="T T T"
Ca 2.369 2.686 1.551
O 3.485 -1.102 4.529
O 3.485 1.787 3.343
O 3.485 -0.685 1.434
O 1.254 -1.787 3.343
O 1.254 1.102 4.529
O 1.254 0.685 1.434
Pa 0.000 0.000 3.102
Cr 2.369 0.000 0.000
```

DOS at the Fermi energy in states/eV per cell: 5.830
E in eV/atom: -7.869
Spin magnetization in μB/cell: 0.99